Here is LiSiSe2 at its PBEsol-relaxed geometry from Alexandria via LeMat-Bulk. Energies are from meta-GGA SCAN.

Output
As for the crystal system: orthorhombic. As for the volume: 86.5 Å³/f.u. The formation energy (no corrections) comes out at -108 kJ/mol of formula units. The value obtained for the total energy is -13.420 eV per atom. As for the density of states at the Fermi level: 1.09 states/eV/f.u. As for the symmetry: Immm, No. 71. For the total moment, the calculation gives 0.290 Bohr magnetons per cell.

CIF file:
```
data_LiSiSe2
_symmetry_space_group_name_H-M 'P 1'
_symmetry_Int_Tables_number 1
_cell_length_a 3.392
_cell_length_b 5.332
_cell_length_c 5.332
_cell_angle_alpha 87.82
_cell_angle_beta 71.45
_cell_angle_gamma 71.45
loop_
_symmetry_equiv_pos_as_xyz
'x,y,z'
loop_
_atom_site_label
_atom_site_type_symbol
_atom_site_fract_x
_atom_site_fract_y
_atom_site_fract_z
Si1 Si 0.500 0.000 0.000
Li1 Li 0.500 0.500 0.500
Se1 Se 0.000 0.770 0.230
Se2 Se 0.000 0.230 0.770
```

Here is CaMgFe2 at its PBEsol-relaxed geometry from Alexandria via LeMat-Bulk. Energies are from meta-GGA SCAN.

Output
Its energy relative to the elements is 0.5928 eV per atom. As for the crystal system: tetragonal. As for the volume: 68.7 Å³/f.u. The value obtained for the total energy is -12.131 eV per atom. As for the density of states at the Fermi level: 3.36 states/eV/f.u. As for the symmetry: I4/mmm, No. 139. For the total moment, the calculation gives 5.044 Bohr magnetons per cell.

CIF file:
```
data_CaMgFe2
_symmetry_space_group_name_H-M 'P 1'
_symmetry_Int_Tables_number 1
_cell_length_a 4.118
_cell_length_b 4.122
_cell_length_c 4.986
_cell_angle_alpha 114.42
_cell_angle_beta 114.39
_cell_angle_gamma 90.00
loop_
_symmetry_equiv_pos_as_xyz
'x,y,z'
loop_
_atom_site_label
_atom_site_type_symbol
_atom_site_fract_x
_atom_site_fract_y
_atom_site_fract_z
Ca1 Ca 0.000 0.500 0.000
Fe1 Fe 0.750 0.750 0.500
Mg1 Mg 0.500 0.000 0.000
Fe2 Fe 0.250 0.250 0.500
```

Here is Na2AgC at its PBEsol-relaxed geometry from Alexandria via LeMat-Bulk. Energies are from meta-GGA SCAN.

Output
Its energy relative to the elements is 0.8452 eV per atom. As for the crystal system: tetragonal. As for the volume: 116.2 Å³/f.u. The value obtained for the total energy is -11.629 eV per atom. As for the density of states at the Fermi level: 0.97 states/eV/f.u. As for the symmetry: I-42d, No. 122. For the total moment, the calculation gives 0.000 Bohr magnetons per cell.

CIF file:
```
data_Na2AgC
_symmetry_space_group_name_H-M 'P 1'
_symmetry_Int_Tables_number 1
_cell_length_a 3.884
_cell_length_b 7.974
_cell_length_c 7.974
_cell_angle_alpha 86.60
_cell_angle_beta 75.91
_cell_angle_gamma 75.91
loop_
_symmetry_equiv_pos_as_xyz
'x,y,z'
loop_
_atom_site_label
_atom_site_type_symbol
_atom_site_fract_x
_atom_site_fract_y
_atom_site_fract_z
C1 C 0.500 0.000 0.000
C2 C 0.250 0.500 0.500
Na1 Na 0.867 0.258 0.758
Na2 Na 0.375 0.758 0.742
Na3 Na 0.883 0.742 0.242
Ag1 Ag 0.750 0.500 0.500
Na4 Na 0.875 0.242 0.258
Ag2 Ag 0.000 0.000 0.000
```

Here is CsCa2ZnRu at its PBEsol-relaxed geometry from Alexandria via LeMat-Bulk. Energies are from meta-GGA SCAN.

Output
Its energy relative to the elements is 0.2554 eV per atom. As for the crystal system: tetragonal. As for the volume: 151.9 Å³/f.u. The value obtained for the total energy is -20.840 eV per atom. As for the density of states at the Fermi level: 3.62 states/eV/f.u. As for the symmetry: P4/mmm, No. 123. For the total moment, the calculation gives 0.000 Bohr magnetons per cell.

CIF file:
```
data_CsCa2ZnRu
_symmetry_space_group_name_H-M 'P 1'
_symmetry_Int_Tables_number 1
_cell_length_a 5.064
_cell_length_b 5.477
_cell_length_c 5.477
_cell_angle_alpha 90.00
_cell_angle_beta 90.00
_cell_angle_gamma 90.00
loop_
_symmetry_equiv_pos_as_xyz
'x,y,z'
loop_
_atom_site_label
_atom_site_type_symbol
_atom_site_fract_x
_atom_site_fract_y
_atom_site_fract_z
Ca1 Ca 0.000 0.000 0.500
Zn1 Zn 0.500 0.000 0.000
Ca2 Ca 0.000 0.500 0.000
Ru1 Ru 0.000 0.000 0.000
Cs1 Cs 0.500 0.500 0.500
```

Here is NiPdSeN2 at its PBEsol-relaxed geometry from Alexandria via LeMat-Bulk. Energies are from meta-GGA SCAN.

Output
As for the crystal system: tetragonal. As for the volume: 75.5 Å³/f.u. The formation energy (no corrections) comes out at 670 kJ/mol of formula units. The value obtained for the total energy is -16.132 eV per atom. As for the density of states at the Fermi level: 4.09 states/eV/f.u. As for the symmetry: P4/mmm, No. 123. For the total moment, the calculation gives 4.957 Bohr magnetons per cell.

CIF file:
```
data_NiPdSeN2
_symmetry_space_group_name_H-M 'P 1'
_symmetry_Int_Tables_number 1
_cell_length_a 3.673
_cell_length_b 3.673
_cell_length_c 5.599
_cell_angle_alpha 90.00
_cell_angle_beta 90.00
_cell_angle_gamma 90.00
loop_
_symmetry_equiv_pos_as_xyz
'x,y,z'
loop_
_atom_site_label
_atom_site_type_symbol
_atom_site_fract_x
_atom_site_fract_y
_atom_site_fract_z
Ni1 Ni 0.500 0.500 0.500
N1 N 0.500 0.000 0.000
Pd1 Pd 0.000 0.000 0.000
N2 N 0.000 0.500 0.000
Se1 Se 0.000 0.000 0.500
```

Here is CoOsBrCl2 at its PBEsol-relaxed geometry from Alexandria via LeMat-Bulk. Energies are from meta-GGA SCAN.

Output
As for the crystal system: tetragonal. As for the volume: 93.7 Å³/f.u. The formation energy (no corrections) comes out at 392 kJ/mol of formula units. The value obtained for the total energy is -24.107 eV per atom. As for the density of states at the Fermi level: 3.23 states/eV/f.u. As for the symmetry: P4/mmm, No. 123. For the total moment, the calculation gives 4.487 Bohr magnetons per cell.

CIF file:
```
data_CoOsBrCl2
_symmetry_space_group_name_H-M 'P 1'
_symmetry_Int_Tables_number 1
_cell_length_a 4.288
_cell_length_b 4.288
_cell_length_c 5.092
_cell_angle_alpha 90.00
_cell_angle_beta 90.00
_cell_angle_gamma 90.00
loop_
_symmetry_equiv_pos_as_xyz
'x,y,z'
loop_
_atom_site_label
_atom_site_type_symbol
_atom_site_fract_x
_atom_site_fract_y
_atom_site_fract_z
Cl1 Cl 0.000 0.500 0.000
Os1 Os 0.000 0.000 0.500
Cl2 Cl 0.500 0.000 0.000
Br1 Br 0.500 0.500 0.500
Co1 Co 0.000 0.000 0.000
```

Look up the total moment of the fifth one. 4.957 Bohr magnetons per cell

What is the density of states at the Fermi level in the second record? 3.36 states/eV/f.u.

What did the second record say?
Here is CaMgFe2 at its PBEsol-relaxed geometry from Alexandria via LeMat-Bulk. Energies are from meta-GGA SCAN.

Output
Its energy relative to the elements is 0.5928 eV per atom. As for the crystal system: tetragonal. As for the volume: 68.7 Å³/f.u. The value obtained for the total energy is -12.131 eV per atom. As for the density of states at the Fermi level: 3.36 states/eV/f.u. As for the symmetry: I4/mmm, No. 139. For the total moment, the calculation gives 5.044 Bohr magnetons per cell.

CIF file:
```
data_CaMgFe2
_symmetry_space_group_name_H-M 'P 1'
_symmetry_Int_Tables_number 1
_cell_length_a 4.118
_cell_length_b 4.122
_cell_length_c 4.986
_cell_angle_alpha 114.42
_cell_angle_beta 114.39
_cell_angle_gamma 90.00
loop_
_symmetry_equiv_pos_as_xyz
'x,y,z'
loop_
_atom_site_label
_atom_site_type_symbol
_atom_site_fract_x
_atom_site_fract_y
_atom_site_fract_z
Ca1 Ca 0.000 0.500 0.000
Fe1 Fe 0.750 0.750 0.500
Mg1 Mg 0.500 0.000 0.000
Fe2 Fe 0.250 0.250 0.500
```